(1)
Entry from Alexandria via LeMat-Bulk: Mg2MnSi after structural relaxation (PBE).

Output
Its symmetry is I4/mmm. Its density of states at the Fermi level is 2.18 states/eV/f.u. The volume comes out at 65.6 Å³ per cell. The value obtained for the energy relative to the elements, uncorrected is 0.115 eV/atom.

Unit cell a=5.161 b=5.161 c=5.161 alpha=135.92 beta=135.92 gamma=64.10
Fractional coordinates of all 4 atoms:
Mg (0.250, 0.750, 0.500)
Mg (0.750, 0.250, 0.500)
Mn (0.000, 0.000, 0.000)
Si (0.500, 0.500, 0.000)

(2)
Entry from Alexandria via LeMat-Bulk: GeSb2HI after structural relaxation (PBE).

Output
Its symmetry is P4/mmm. For the energy above the most stable polymorph in this dataset, the calculation gives 430 meV/atom. Its density of states at the Fermi level is 4.30 states/eV/f.u. The volume comes out at 175.6 Å³ per cell.

Unit cell a=5.380 b=5.380 c=6.067 alpha=90.00 beta=90.00 gamma=90.00
Fractional coordinates of all 5 atoms:
Ge (0.000, 0.000, 0.000)
Sb (0.000, 0.500, 0.000)
Sb (0.500, 0.000, 0.000)
H (0.500, 0.500, 0.500)
I (0.000, 0.000, 0.500)

Record order is preserved below.
Total DFT energy (no corrections): -17.32, -12.98 eV per cell